Density functional theory data (PBEsol) for an optimized crystal structure of Cu2Ir.

Properties
Formation energy from the elements (eV per atom): 0.07
Energy (eV/atom): -6.09

a = 2.6252 Å, b = 2.6252 Å, c = 6.2844 Å
α = 90.00°, β = 90.00°, γ = 120.00°
Space group P-3m1 (No. 164)
Unique sites:
Cu (0.3333, 0.6667, 0.1579) (multiplicity 2)
Ir (0.0000, 0.0000, 0.5000) (multiplicity 1)